Density functional theory data (GGA-PBE) for a relaxed K3Sn2Pb3 crystal.

Results
- density of states at the Fermi level (states/eV/atom) = 0.647
- M_tot (μB/f.u.) = 0.00
- formation enthalpy at 0 K (eV/atom) = -0.119
- space-group type = Cmcm

Unit cell a=6.881 b=6.881 c=16.120 alpha=90.00 beta=90.00 gamma=129.84
Atoms (fractional coordinates):
1 K 0.007 0.993 0.750
2 K 0.156 0.844 0.027
3 K 0.156 0.844 0.473
4 K 0.844 0.156 0.527
5 K 0.844 0.156 0.973
6 K 0.993 0.007 0.250
7 Sn 0.299 0.701 0.662
8 Sn 0.299 0.701 0.838
9 Sn 0.701 0.299 0.162
10 Sn 0.701 0.299 0.338
11 Pb 0.293 0.707 0.250
12 Pb 0.473 0.527 0.098
13 Pb 0.473 0.527 0.402
14 Pb 0.527 0.473 0.598
15 Pb 0.527 0.473 0.902
16 Pb 0.707 0.293 0.750

Density functional theory data (GGA-PBE) for a relaxed KSn2Pb crystal.

Results
- density of states at the Fermi level (states/eV/atom) = 0.244
- M_tot (μB/f.u.) = 0.00
- formation enthalpy at 0 K (eV/atom) = -0.107
- space-group type = P4/mmm

Unit cell a=4.181 b=4.181 c=7.721 alpha=90.00 beta=90.00 gamma=90.00
Atoms (fractional coordinates):
1 K 0.000 0.000 0.000
2 Sn 0.500 0.500 0.309
3 Sn 0.500 0.500 0.691
4 Pb 0.000 0.000 0.500

Density functional theory data (GGA-PBE) for a relaxed KSnPb3 crystal.

Results
- density of states at the Fermi level (states/eV/atom) = 1.102
- energy above the most stable polymorph in this dataset (eV/f.u.) = 1.67
- M_tot (μB/f.u.) = 0.00
- formation enthalpy at 0 K (eV/atom) = 0.255
- space-group type = Pm-3m

Unit cell a=5.955 b=5.955 c=5.955 alpha=90.00 beta=90.00 gamma=90.00
Atoms (fractional coordinates):
1 K 0.000 0.000 0.000
2 Sn 0.500 0.500 0.500
3 Pb 0.000 0.500 0.500
4 Pb 0.500 0.000 0.500
5 Pb 0.500 0.500 0.000

Density functional theory data (GGA-PBE) for a relaxed K5Sn4Pb2 crystal.

Results
- density of states at the Fermi level (states/eV/atom) = 0.340
- M_tot (μB/f.u.) = 0.00
- formation enthalpy at 0 K (eV/atom) = -0.062
- space-group type = C2/m

Unit cell a=8.591 b=8.591 c=8.038 alpha=106.01 beta=106.01 gamma=48.80
Atoms (fractional coordinates):
1 K 0.000 0.000 0.000
2 K 0.157 0.624 0.578
3 K 0.376 0.843 0.422
4 K 0.624 0.157 0.578
5 K 0.843 0.376 0.422
6 Sn 0.235 0.235 0.217
7 Sn 0.398 0.398 0.133
8 Sn 0.602 0.602 0.867
9 Sn 0.765 0.765 0.783
10 Pb 0.214 0.214 0.831
11 Pb 0.786 0.786 0.169

Density functional theory data (GGA-PBE) for a relaxed K2Sn2Pb crystal.

Results
- density of states at the Fermi level (states/eV/atom) = 0.379
- energy above the most stable polymorph in this dataset (eV/f.u.) = 0.83
- M_tot (μB/f.u.) = 0.00
- formation enthalpy at 0 K (eV/atom) = 0.008
- space-group type = P4/mbm

Unit cell a=9.687 b=9.687 c=3.720 alpha=90.00 beta=90.00 gamma=90.00
Atoms (fractional coordinates):
1 K 0.191 0.309 0.000
2 K 0.309 0.809 0.000
3 K 0.691 0.191 0.000
4 K 0.809 0.691 0.000
5 Sn 0.105 0.605 0.500
6 Sn 0.395 0.105 0.500
7 Sn 0.605 0.895 0.500
8 Sn 0.895 0.395 0.500
9 Pb 0.000 0.000 0.500
10 Pb 0.500 0.500 0.500

Density functional theory data (GGA-PBE) for a relaxed KSnPb2 crystal.

Results
- density of states at the Fermi level (states/eV/atom) = 0.770
- M_tot (μB/f.u.) = 0.00
- formation enthalpy at 0 K (eV/atom) = -0.024
- space-group type = P4/nmm

Unit cell a=5.014 b=5.014 c=11.463 alpha=90.00 beta=90.00 gamma=90.00
Atoms (fractional coordinates):
1 K 0.250 0.250 0.244
2 K 0.750 0.750 0.756
3 Sn 0.250 0.250 0.672
4 Sn 0.750 0.750 0.328
5 Pb 0.250 0.250 0.946
6 Pb 0.250 0.750 0.500
7 Pb 0.750 0.250 0.500
8 Pb 0.750 0.750 0.054

Density functional theory data (GGA-PBE) for a relaxed KSn3Pb9 crystal.

Results
- density of states at the Fermi level (states/eV/atom) = 0.416
- M_tot (μB/f.u.) = 0.00
- formation enthalpy at 0 K (eV/atom) = -0.024
- space-group type = C2/m

Unit cell a=8.754 b=8.754 c=8.759 alpha=97.70 beta=97.70 gamma=136.81
Atoms (fractional coordinates):
1 K 0.000 0.000 0.000
2 Sn 0.000 0.000 0.500
3 Sn 0.000 0.500 0.000
4 Sn 0.500 0.000 0.000
5 Pb 0.004 0.649 0.649
6 Pb 0.277 0.496 0.785
7 Pb 0.351 0.996 0.351
8 Pb 0.496 0.277 0.785
9 Pb 0.500 0.500 0.500
10 Pb 0.504 0.723 0.215
11 Pb 0.649 0.004 0.649
12 Pb 0.723 0.504 0.215
13 Pb 0.996 0.351 0.351

Density functional theory data (GGA-PBE) for a relaxed KSn2Pb2 crystal.

Results
- density of states at the Fermi level (states/eV/atom) = 0.693
- energy above the most stable polymorph in this dataset (eV/f.u.) = 0.00
- M_tot (μB/f.u.) = 0.00
- formation enthalpy at 0 K (eV/atom) = -0.103
- space-group type = I4/mmm

Unit cell a=7.536 b=7.536 c=7.536 alpha=139.28 beta=139.28 gamma=58.95
Atoms (fractional coordinates):
1 K 0.000 0.000 0.000
2 Sn 0.387 0.387 0.000
3 Sn 0.613 0.613 0.000
4 Pb 0.250 0.750 0.500
5 Pb 0.750 0.250 0.500

Density functional theory data (GGA-PBE) for a relaxed K2Sn10Pb crystal.

Results
- density of states at the Fermi level (states/eV/atom) = 0.384
- M_tot (μB/f.u.) = 0.00
- formation enthalpy at 0 K (eV/atom) = 0.023
- space-group type = Pbam

Unit cell a=11.765 b=12.734 c=6.552 alpha=90.00 beta=90.00 gamma=90.00
Atoms (fractional coordinates):
1 K 0.184 0.093 0.000
2 K 0.316 0.593 0.000
3 K 0.684 0.407 0.000
4 K 0.816 0.907 0.000
5 Sn 0.031 0.214 0.500
6 Sn 0.142 0.979 0.500
7 Sn 0.189 0.353 0.237
8 Sn 0.189 0.353 0.763
9 Sn 0.199 0.685 0.500
10 Sn 0.301 0.185 0.500
11 Sn 0.311 0.853 0.237
12 Sn 0.311 0.853 0.763
13 Sn 0.358 0.479 0.500
14 Sn 0.469 0.714 0.500
15 Sn 0.531 0.286 0.500
16 Sn 0.642 0.521 0.500
17 Sn 0.689 0.147 0.237
18 Sn 0.689 0.147 0.763
19 Sn 0.699 0.815 0.500
20 Sn 0.801 0.315 0.500
21 Sn 0.811 0.647 0.237
22 Sn 0.811 0.647 0.763
23 Sn 0.858 0.021 0.500
24 Sn 0.969 0.786 0.500
25 Pb 0.000 0.500 0.500
26 Pb 0.500 0.000 0.500

Density functional theory data (GGA-PBE) for a relaxed KSn4Pb6 crystal.

Results
- density of states at the Fermi level (states/eV/atom) = 0.458
- M_tot (μB/f.u.) = 0.00
- formation enthalpy at 0 K (eV/atom) = 0.020
- space-group type = P-6m2

Unit cell a=9.873 b=9.873 c=4.284 alpha=90.00 beta=90.00 gamma=120.00
Atoms (fractional coordinates):
1 K 0.000 0.000 0.000
2 Sn 0.333 0.667 0.000
3 Sn 0.364 0.182 0.500
4 Sn 0.818 0.182 0.500
5 Sn 0.818 0.636 0.500
6 Pb 0.192 0.384 0.500
7 Pb 0.192 0.808 0.500
8 Pb 0.542 0.084 0.000
9 Pb 0.542 0.458 0.000
10 Pb 0.616 0.808 0.500
11 Pb 0.916 0.458 0.000

Density functional theory data (GGA-PBE) for a relaxed KSn4Pb8 crystal.

Results
- density of states at the Fermi level (states/eV/atom) = 0.398
- energy above the most stable polymorph in this dataset (eV/f.u.) = 1.36
- M_tot (μB/f.u.) = 0.00
- formation enthalpy at 0 K (eV/atom) = 0.078
- space-group type = R-3m

Unit cell a=10.981 b=10.981 c=10.981 alpha=37.61 beta=37.61 gamma=37.61
Atoms (fractional coordinates):
1 K 0.000 0.000 0.000
2 Sn 0.000 0.500 0.500
3 Sn 0.500 0.000 0.500
4 Sn 0.500 0.500 0.000
5 Sn 0.500 0.500 0.500
6 Pb 0.241 0.743 0.743
7 Pb 0.246 0.246 0.246
8 Pb 0.257 0.257 0.759
9 Pb 0.257 0.759 0.257
10 Pb 0.743 0.241 0.743
11 Pb 0.743 0.743 0.241
12 Pb 0.754 0.754 0.754
13 Pb 0.759 0.257 0.257

What is the formula in the eleventh record?
KSn4Pb8

What did the fourth record say?
Density functional theory data (GGA-PBE) for a relaxed K5Sn4Pb2 crystal.

Results
- density of states at the Fermi level (states/eV/atom) = 0.340
- M_tot (μB/f.u.) = 0.00
- formation enthalpy at 0 K (eV/atom) = -0.062
- space-group type = C2/m

Unit cell a=8.591 b=8.591 c=8.038 alpha=106.01 beta=106.01 gamma=48.80
Atoms (fractional coordinates):
1 K 0.000 0.000 0.000
2 K 0.157 0.624 0.578
3 K 0.376 0.843 0.422
4 K 0.624 0.157 0.578
5 K 0.843 0.376 0.422
6 Sn 0.235 0.235 0.217
7 Sn 0.398 0.398 0.133
8 Sn 0.602 0.602 0.867
9 Sn 0.765 0.765 0.783
10 Pb 0.214 0.214 0.831
11 Pb 0.786 0.786 0.169